## 1
PmNd3Zn | PBE-GGA | relaxed

Unit cell a=12.107 b=9.106 c=7.983 alpha=90.00 beta=130.91 gamma=90.00
Space group C2/m (No. 12)
Unique sites:
Pm1 0.065 0.000 0.270 (multiplicity 4)
Nd1 0.054 0.500 0.324 (multiplicity 4)
Nd2 0.231 0.192 0.762 (multiplicity 8)
Zn1 0.246 0.000 0.118 (multiplicity 4)



## 2
PmNd3Zn | PBE-GGA | relaxed

Unit cell a=12.613 b=3.736 c=13.264 alpha=90.00 beta=93.79 gamma=90.00
Space group C2/m (No. 12)
Unique sites:
Pm1 0.202 0.000 0.277 (multiplicity 4)
Nd1 0.067 0.000 0.814 (multiplicity 4)
Nd2 0.133 0.000 0.538 (multiplicity 4)
Nd3 0.138 0.500 0.051 (multiplicity 4)
Zn1 0.031 0.500 0.360 (multiplicity 4)



Which is the most stable structure? 2 is the most stable.



## 1
Pr2Nd | PBE-GGA | relaxed

Unit cell a=9.581 b=9.581 c=9.581 alpha=90.00 beta=90.00 gamma=90.00
Space group Fd-3m (No. 227, origin choice 2)
Unique sites:
Pr1 0.000 0.000 0.000 (multiplicity 16)
Nd1 0.125 0.125 0.625 (multiplicity 8)



## 2
Pr2Nd | PBE-GGA | relaxed

Unit cell a=3.704 b=3.704 c=15.748 alpha=90.00 beta=90.00 gamma=90.00
Space group I4/mmm (No. 139)
Unique sites:
Pr1 0.000 0.000 0.166 (multiplicity 4)
Nd1 0.000 0.000 0.500 (multiplicity 2)



Which is the most stable structure? 2 is the most stable.



## 1
PrNd | PBE-GGA | relaxed

Unit cell a=3.6982 b=3.6982 c=36.2790 alpha=90.00 beta=90.00 gamma=120.00
Space group R-3m (No. 166, hexagonal axes)
Unique sites:
Pr1 0.0000 0.0000 0.1247 (multiplicity 6)
Nd1 0.0000 0.0000 0.3746 (multiplicity 6)



## 2
PrNd | PBE-GGA | relaxed

Unit cell a=4.159 b=4.159 c=4.159 alpha=90.00 beta=90.00 gamma=90.00
Space group Pm-3m (No. 221)
Unique sites:
Pr1 0.000 0.000 0.000 (multiplicity 1)
Nd1 0.500 0.500 0.500 (multiplicity 1)



Which is the most stable structure? 1 is the most stable.



## 1
PrNd | PBE-GGA | relaxed

Unit cell a=13.652 b=3.714 c=8.833 alpha=90.00 beta=105.02 gamma=90.00
Space group Cm (No. 8)
Unique sites:
Pr1 0.000 0.000 0.000 (multiplicity 2)
Pr2 0.055 0.000 0.612 (multiplicity 2)
Pr3 0.388 0.000 0.278 (multiplicity 2)
Nd1 0.167 0.500 0.334 (multiplicity 2)
Nd2 0.222 0.500 0.945 (multiplicity 2)
Nd3 0.333 0.000 0.667 (multiplicity 2)



## 2
PrNd | PBE-GGA | relaxed

Unit cell a=3.7184 b=3.7184 c=11.9535 alpha=90.00 beta=90.00 gamma=120.00
Space group P6_3/mmc (No. 194)
Unique sites:
Pr1 0.0000 0.0000 0.0000 (multiplicity 2)
Nd1 0.3333 0.6667 0.2500 (multiplicity 2)



Which is the most stable structure? 2 is the most stable.



## 1
PrNd | PBE-GGA | relaxed

Unit cell a=3.7363 b=3.7363 c=5.9839 alpha=90.00 beta=90.00 gamma=120.00
Space group P-6m2 (No. 187)
Unique sites:
Pr1 0.0000 0.0000 0.0000 (multiplicity 1)
Nd1 0.3333 0.6667 0.5000 (multiplicity 1)



## 2
PrNd | PBE-GGA | relaxed

Unit cell a=3.694 b=5.249 c=7.377 alpha=90.00 beta=90.00 gamma=90.00
Space group P2_1/m (No. 11)
Unique sites:
Pr1 0.249 0.250 0.126 (multiplicity 2)
Nd1 0.251 0.250 0.624 (multiplicity 2)



Which is the most stable structure? 2 is the most stable.



## 1
Pr3Nd4 | PBE-GGA | relaxed

Unit cell a=3.700 b=3.700 c=36.636 alpha=90.00 beta=90.00 gamma=90.00
Space group I4/mmm (No. 139)
Unique sites:
Pr1 0.000 0.000 0.000 (multiplicity 2)
Pr2 0.000 0.000 0.286 (multiplicity 4)
Nd1 0.000 0.000 0.142 (multiplicity 4)
Nd2 0.000 0.000 0.428 (multiplicity 4)



## 2
Pr3Nd4 | PBE-GGA | relaxed

Unit cell a=12.919 b=6.147 c=6.395 alpha=90.00 beta=101.92 gamma=90.00
Space group C2/m (No. 12)
Unique sites:
Pr1 0.000 0.000 0.000 (multiplicity 2)
Pr2 0.211 0.500 0.861 (multiplicity 4)
Nd1 0.073 0.500 0.293 (multiplicity 4)
Nd2 0.143 0.000 0.566 (multiplicity 4)



Which is the most stable structure? 1 is the most stable.



## 1
Pr2Nd3 | PBE-GGA | relaxed

Unit cell a=9.520 b=9.520 c=7.965 alpha=90.00 beta=90.00 gamma=90.00
Space group P4_2/mnm (No. 136)
Unique sites:
Pr1 0.132 0.132 0.230 (multiplicity 8)
Nd1 0.000 0.500 0.250 (multiplicity 4)
Nd2 0.152 0.848 0.500 (multiplicity 4)
Nd3 0.182 0.818 0.000 (multiplicity 4)



## 2
Pr2Nd3 | PBE-GGA | relaxed

Unit cell a=6.2892 b=6.2892 c=34.2559 alpha=90.00 beta=90.00 gamma=120.00
Space group R-3c (No. 167, hexagonal axes)
Unique sites:
Pr1 0.0000 0.0000 0.1655 (multiplicity 12)
Nd1 0.0000 0.3358 0.2500 (multiplicity 18)



Which is the most stable structure? 1 is the most stable.



## 1
Pr3Nd5 | PBE-GGA | relaxed

Unit cell a=9.012 b=9.012 c=14.017 alpha=90.00 beta=90.00 gamma=90.00
Space group I4/mcm (No. 140)
Unique sites:
Pr1 0.000 0.000 0.250 (multiplicity 4)
Pr2 0.146 0.354 0.000 (multiplicity 8)
Nd1 0.000 0.000 0.000 (multiplicity 4)
Nd2 0.151 0.349 0.337 (multiplicity 16)



## 2
Pr3Nd5 | PBE-GGA | relaxed

Unit cell a=10.451 b=10.443 c=10.443 alpha=90.00 beta=90.00 gamma=90.00
Space group Amm2 (No. 38)
Unique sites:
Pr1 0.000 0.000 0.000 (multiplicity 2)
Pr2 0.000 0.249 0.751 (multiplicity 4)
Pr3 0.251 0.000 0.251 (multiplicity 4)
Pr4 0.500 0.000 0.501 (multiplicity 2)
Nd1 0.000 0.000 0.501 (multiplicity 2)
Nd2 0.251 0.000 0.751 (multiplicity 4)
Nd3 0.251 0.250 0.001 (multiplicity 8)
Nd4 0.500 0.000 0.000 (multiplicity 2)
Nd5 0.500 0.249 0.751 (multiplicity 4)



Which is the most stable structure? 2 is the most stable.



## 1
Pr4Nd3 | PBE-GGA | relaxed

Unit cell a=3.703 b=3.703 c=36.695 alpha=90.00 beta=90.00 gamma=90.00
Space group I4/mmm (No. 139)
Unique sites:
Pr1 0.000 0.000 0.071 (multiplicity 4)
Pr2 0.000 0.000 0.357 (multiplicity 4)
Nd1 0.000 0.000 0.215 (multiplicity 4)
Nd2 0.000 0.000 0.500 (multiplicity 2)



## 2
Pr4Nd3 | PBE-GGA | relaxed

Unit cell a=12.935 b=6.161 c=6.401 alpha=90.00 beta=101.98 gamma=90.00
Space group C2/m (No. 12)
Unique sites:
Pr1 0.070 0.000 0.282 (multiplicity 4)
Pr2 0.143 0.500 0.575 (multiplicity 4)
Nd1 0.000 0.500 0.000 (multiplicity 2)
Nd2 0.216 0.000 0.857 (multiplicity 4)



Which is the most stable structure? 1 is the most stable.



## 1
Pr5Nd4 | PBE-GGA | relaxed

Unit cell a=11.103 b=11.103 c=5.236 alpha=90.00 beta=90.00 gamma=90.00
Space group I4/mmm (No. 139)
Unique sites:
Pr1 0.000 0.000 0.000 (multiplicity 2)
Pr2 0.167 0.167 0.500 (multiplicity 8)
Nd1 0.000 0.334 0.000 (multiplicity 8)



## 2
Pr5Nd4 | PBE-GGA | relaxed

Unit cell a=13.060 b=13.060 c=3.758 alpha=90.00 beta=90.00 gamma=90.00
Space group I4/mmm (No. 139)
Unique sites:
Pr1 0.000 0.000 0.000 (multiplicity 2)
Pr2 0.167 0.167 0.500 (multiplicity 8)
Nd1 0.000 0.335 0.000 (multiplicity 8)



Which is the most stable structure? 1 is the most stable.



## 1
Pr4Nd | PBE-GGA | relaxed

Unit cell a=6.437 b=3.704 c=15.279 alpha=90.00 beta=98.19 gamma=90.00
Space group C2/m (No. 12)
Unique sites:
Pr1 0.102 0.000 0.301 (multiplicity 4)
Pr2 0.199 0.500 0.100 (multiplicity 4)
Nd1 0.000 0.500 0.500 (multiplicity 2)



## 2
Pr4Nd | PBE-GGA | relaxed

Unit cell a=5.918 b=5.918 c=5.918 alpha=90.00 beta=90.00 gamma=90.00
Space group Pm-3m (No. 221)
Unique sites:
Pr1 0.000 0.000 0.000 (multiplicity 1)
Pr2 0.000 0.500 0.500 (multiplicity 3)
Nd1 0.500 0.500 0.500 (multiplicity 1)



## 3
Pr4Nd | PBE-GGA | relaxed

Unit cell a=3.711 b=3.711 c=26.272 alpha=90.00 beta=90.00 gamma=90.00
Space group I4/mmm (No. 139)
Unique sites:
Pr1 0.000 0.000 0.099 (multiplicity 4)
Pr2 0.000 0.000 0.300 (multiplicity 4)
Nd1 0.000 0.000 0.500 (multiplicity 2)



Which is the most stable structure? 1 is the most stable.



## 1
Pr2Nd5 | PBE-GGA | relaxed

Unit cell a=5.8443 b=5.8443 c=25.2521 alpha=90.00 beta=90.00 gamma=120.00
Space group R-3m (No. 166, hexagonal axes)
Unique sites:
Pr1 0.0000 0.0000 0.1358 (multiplicity 6)
Nd1 0.0000 0.0000 0.0000 (multiplicity 3)
Nd2 0.0000 0.0000 0.2721 (multiplicity 6)
Nd3 0.0000 0.0000 0.4155 (multiplicity 6)



## 2
Pr2Nd5 | PBE-GGA | relaxed

Unit cell a=9.719 b=6.136 c=9.392 alpha=90.00 beta=117.76 gamma=90.00
Space group C2/m (No. 12)
Unique sites:
Pr1 0.214 0.000 0.143 (multiplicity 4)
Nd1 0.000 0.500 0.000 (multiplicity 2)
Nd2 0.071 0.000 0.713 (multiplicity 4)
Nd3 0.142 0.500 0.428 (multiplicity 4)



Which is the most stable structure? 2 is the most stable.